--- P ---
Density functional theory data (GGA-PBE) for a relaxed HgBiCl crystal.

Computed properties:
- spin magnetization (μB per formula unit) = 0.00
- volume (Å³ per atom) = 34.70

Cell: 13.763 4.418 7.451 Å, 90.00 113.18 90.00°
Fractional positions:
Hg: 0.000 0.000 0.000
Hg: 0.176 0.500 0.932
Hg: 0.500 0.500 0.000
Hg: 0.676 0.000 0.932
Bi: 0.350 0.500 0.618
Bi: 0.482 0.000 0.529
Bi: 0.850 0.000 0.618
Bi: 0.982 0.500 0.529
Cl: 0.122 0.000 0.351
Cl: 0.357 0.000 0.153
Cl: 0.622 0.500 0.351
Cl: 0.857 0.500 0.153

--- Q ---
Density functional theory data (GGA-PBE) for a relaxed HgBiCl crystal.

Computed properties:
- spin magnetization (μB per formula unit) = 0.00
- volume (Å³ per atom) = 36.72

Cell: 3.355 5.566 6.170 Å, 89.34 88.68 73.04°
Fractional positions:
Hg: 0.000 0.000 0.000
Bi: 0.008 0.988 0.500
Cl: 0.251 0.490 0.502

--- R ---
Density functional theory data (GGA-PBE) for a relaxed HgBiCl crystal.

Computed properties:
- spin magnetization (μB per formula unit) = 0.00
- volume (Å³ per atom) = 32.49

Cell: 8.446 11.652 4.447 Å, 90.00 117.02 90.00°
Fractional positions:
Hg: 0.000 0.127 0.000
Hg: 0.000 0.873 0.500
Hg: 0.500 0.373 0.500
Hg: 0.500 0.627 0.000
Bi: 0.142 0.408 0.342
Bi: 0.142 0.592 0.842
Bi: 0.642 0.092 0.842
Bi: 0.642 0.908 0.342
Cl: 0.274 0.150 0.907
Cl: 0.274 0.850 0.407
Cl: 0.774 0.350 0.407
Cl: 0.774 0.650 0.907

Which is the most stable structure? P is the most stable.

--- P ---
Density functional theory data (GGA-PBE) for a relaxed HgBi3Cl crystal.

Computed properties:
- spin magnetization (μB per formula unit) = 0.00
- volume (Å³ per atom) = 38.03

Cell: 5.750 5.750 5.750 Å, 90.00 90.00 90.00°
Fractional positions:
Hg: 0.000 0.000 0.000
Bi: 0.000 0.000 0.500
Bi: 0.000 0.500 0.000
Bi: 0.500 0.000 0.000
Cl: 0.500 0.500 0.500

--- Q ---
Density functional theory data (GGA-PBE) for a relaxed HgBi3Cl crystal.

Computed properties:
- spin magnetization (μB per formula unit) = 0.00
- volume (Å³ per atom) = 35.11

Cell: 5.599 5.599 5.599 Å, 90.00 90.00 90.00°
Fractional positions:
Hg: 0.000 0.000 0.000
Bi: 0.000 0.500 0.500
Bi: 0.500 0.000 0.500
Bi: 0.500 0.500 0.000
Cl: 0.500 0.500 0.500

Which is the most stable structure? P is the most stable.

--- P ---
Density functional theory data (GGA-PBE) for a relaxed HgBiCl2 crystal.

Computed properties:
- spin magnetization (μB per formula unit) = 0.00
- volume (Å³ per atom) = 45.66

Cell: 7.666 7.714 6.240 Å, 90.00 98.13 90.00°
Fractional positions:
Hg: 0.000 0.000 0.000
Hg: 0.500 0.500 0.000
Bi: 0.000 0.025 0.500
Bi: 0.500 0.525 0.500
Cl: 0.243 0.290 0.430
Cl: 0.257 0.790 0.570
Cl: 0.743 0.790 0.430
Cl: 0.757 0.290 0.570

--- Q ---
Density functional theory data (GGA-PBE) for a relaxed HgBiCl2 crystal.

Computed properties:
- spin magnetization (μB per formula unit) = 0.00
- volume (Å³ per atom) = 29.61

Cell: 3.581 3.581 32.001 Å, 90.00 90.00 120.00°
Fractional positions:
Hg: 0.000 0.000 0.000
Hg: 0.333 0.667 0.667
Hg: 0.667 0.333 0.333
Bi: 0.000 0.000 0.500
Bi: 0.333 0.667 0.167
Bi: 0.667 0.333 0.833
Cl: 0.000 0.000 0.100
Cl: 0.000 0.000 0.900
Cl: 0.333 0.667 0.567
Cl: 0.333 0.667 0.766
Cl: 0.667 0.333 0.234
Cl: 0.667 0.333 0.433

Which is the most stable structure? P is the most stable.

--- P ---
Density functional theory data (GGA-PBE) for a relaxed HgBiCl2 crystal.

Computed properties:
- spin magnetization (μB per formula unit) = 0.00
- volume (Å³ per atom) = 25.22

Cell: 7.390 7.390 7.390 Å, 90.00 90.00 90.00°
Fractional positions:
Hg: 0.000 0.000 0.000
Hg: 0.000 0.500 0.500
Hg: 0.500 0.000 0.500
Hg: 0.500 0.500 0.000
Bi: 0.000 0.000 0.500
Bi: 0.000 0.500 0.000
Bi: 0.500 0.000 0.000
Bi: 0.500 0.500 0.500
Cl: 0.250 0.250 0.250
Cl: 0.250 0.250 0.750
Cl: 0.250 0.750 0.250
Cl: 0.250 0.750 0.750
Cl: 0.750 0.250 0.250
Cl: 0.750 0.250 0.750
Cl: 0.750 0.750 0.250
Cl: 0.750 0.750 0.750

--- Q ---
Density functional theory data (GGA-PBE) for a relaxed HgBiCl2 crystal.

Computed properties:
- spin magnetization (μB per formula unit) = 0.00
- volume (Å³ per atom) = 35.00

Cell: 9.537 9.537 6.156 Å, 90.00 90.00 90.00°
Fractional positions:
Hg: 0.000 0.000 0.000
Hg: 0.000 0.500 0.250
Hg: 0.500 0.000 0.750
Hg: 0.500 0.500 0.500
Bi: 0.000 0.000 0.500
Bi: 0.000 0.500 0.750
Bi: 0.500 0.000 0.250
Bi: 0.500 0.500 0.000
Cl: 0.134 0.250 0.625
Cl: 0.250 0.634 0.875
Cl: 0.250 0.866 0.375
Cl: 0.366 0.250 0.125
Cl: 0.634 0.750 0.125
Cl: 0.750 0.134 0.375
Cl: 0.750 0.366 0.875
Cl: 0.866 0.750 0.625

Which is the most stable structure? Q is the most stable.

--- P ---
Density functional theory data (GGA-PBE) for a relaxed Hg2BiCl2 crystal.

Computed properties:
- spin magnetization (μB per formula unit) = 0.72
- volume (Å³ per atom) = 35.52

Cell: 7.313 7.313 6.643 Å, 90.00 90.00 90.00°
Fractional positions:
Hg: 0.164 0.336 0.000
Hg: 0.336 0.836 0.000
Hg: 0.664 0.164 0.000
Hg: 0.836 0.664 0.000
Bi: 0.000 0.000 0.500
Bi: 0.500 0.500 0.500
Cl: 0.169 0.669 0.500
Cl: 0.331 0.169 0.500
Cl: 0.669 0.831 0.500
Cl: 0.831 0.331 0.500

--- Q ---
Density functional theory data (GGA-PBE) for a relaxed Hg2BiCl2 crystal.

Computed properties:
- spin magnetization (μB per formula unit) = 0.00
- volume (Å³ per atom) = 30.12

Cell: 3.994 3.994 18.883 Å, 90.00 90.00 90.00°
Fractional positions:
Hg: 0.000 0.500 0.250
Hg: 0.000 0.500 0.750
Hg: 0.500 0.000 0.250
Hg: 0.500 0.000 0.750
Bi: 0.000 0.000 0.000
Bi: 0.500 0.500 0.500
Cl: 0.000 0.000 0.417
Cl: 0.000 0.000 0.583
Cl: 0.500 0.500 0.083
Cl: 0.500 0.500 0.917

Which is the most stable structure? P is the most stable.

--- P ---
Density functional theory data (GGA-PBE) for a relaxed Hg3BiCl crystal.

Computed properties:
- spin magnetization (μB per formula unit) = 0.00
- volume (Å³ per atom) = 39.95

Cell: 5.846 5.846 5.846 Å, 90.00 90.00 90.00°
Fractional positions:
Hg: 0.000 0.000 0.500
Hg: 0.000 0.500 0.000
Hg: 0.500 0.000 0.000
Bi: 0.000 0.000 0.000
Cl: 0.500 0.500 0.500

--- Q ---
Density functional theory data (GGA-PBE) for a relaxed Hg3BiCl crystal.

Computed properties:
- spin magnetization (μB per formula unit) = 0.00
- volume (Å³ per atom) = 33.00

Cell: 5.485 5.485 5.485 Å, 90.00 90.00 90.00°
Fractional positions:
Hg: 0.000 0.000 0.500
Hg: 0.000 0.500 0.000
Hg: 0.500 0.000 0.000
Bi: 0.500 0.500 0.500
Cl: 0.000 0.000 0.000

Which is the most stable structure? P is the most stable.